! Sb2PRhI (PBE-GGA, optimized geometry); values from VASP
! Energy above the lowest structure with this stoichiometry = 0.341 eV per atom
! V = 136.6 Å³/cell
! Density = 6.1 g cm⁻³
! DOS(E_F) = 5.4 states/eV/f.u.
! E_tot = -17.367 eV for the cell shown
&SYSTEM
  ibrav = 0, nat = 5, ntyp = 4
/
ATOMIC_SPECIES
Sb 121.76 Sb.upf
P 30.97 P.upf
Rh 102.91 Rh.upf
I 126.90 I.upf
CELL_PARAMETERS angstrom
5.1572 0.0000 0.0000
0.0000 5.1572 0.0000
0.0000 0.0000 5.1357
ATOMIC_POSITIONS crystal
Sb 0.0000 0.5000 0.0000
Sb 0.5000 0.0000 0.0000
P 0.0000 0.0000 0.0000
Rh 0.5000 0.5000 0.5000
I 0.0000 0.0000 0.5000


! PRhSeI2 (PBE-GGA, optimized geometry); values from VASP
! V = 162.0 Å³/cell
! Density = 4.8 g cm⁻³
! DOS(E_F) = 6.6 states/eV/f.u.
! E_tot = -13.998 eV for the cell shown
&SYSTEM
  ibrav = 0, nat = 5, ntyp = 4
/
ATOMIC_SPECIES
P 30.97 P.upf
Rh 102.91 Rh.upf
Se 78.96 Se.upf
I 126.90 I.upf
CELL_PARAMETERS angstrom
5.9415 0.0000 0.0000
0.0000 5.9415 0.0000
0.0000 0.0000 4.5903
ATOMIC_POSITIONS crystal
P 0.0000 0.0000 0.0000
Rh 0.5000 0.5000 0.0000
Se 0.5000 0.5000 0.5000
I 0.0000 0.5000 0.5000
I 0.5000 0.0000 0.5000